Record 1
GdDySc: optimized geometry, PBE.

Cell: 7.423 7.423 7.423 Å, 90.00 90.00 90.00°
Space group F-43m (No. 216)
Symmetry-distinct sites (fractional):
1 Gd 0.000 0.000 0.000 [4 per cell]
2 Dy 0.000 0.000 0.500 [4 per cell]
3 Sc 0.250 0.250 0.750 [4 per cell]

Output
Formation energy from the elements = 198 kJ/mol of formula units
Total energy = -4.511 eV per atom


Record 2
Gd2DySe3: optimized geometry, PBE.

Cell: 4.0866 4.0866 10.0608 Å, 90.00 90.00 120.00°
Space group P-3m1 (No. 164)
Symmetry-distinct sites (fractional):
1 Gd 0.3333 0.6667 0.1671 [2 per cell]
2 Dy 0.0000 0.0000 0.5000 [1 per cell]
3 Se 0.0000 0.0000 0.0000 [1 per cell]
4 Se 0.3333 0.6667 0.6635 [2 per cell]

Output
Total energy = -5.840 eV per atom


Record 3
GdDySi2: optimized geometry, PBE.

Cell: 3.847 7.960 5.727 Å, 90.00 90.00 90.00°
Space group Pmn2_1 (No. 31)
Symmetry-distinct sites (fractional):
1 Gd 0.000 0.071 0.000 [2 per cell]
2 Dy 0.000 0.570 0.730 [2 per cell]
3 Si 0.000 0.214 0.486 [2 per cell]
4 Si 0.000 0.710 0.242 [2 per cell]

Output
Total energy = -5.854 eV per atom


Record 4
GdDySi2: optimized geometry, PBE.

Cell: 5.731 3.853 7.949 Å, 90.00 90.06 90.00°
Space group P2_1/m (No. 11)
Symmetry-distinct sites (fractional):
1 Gd 0.115 0.250 0.179 [2 per cell]
2 Dy 0.385 0.250 0.679 [2 per cell]
3 Si 0.129 0.750 0.462 [2 per cell]
4 Si 0.372 0.750 0.962 [2 per cell]

Output
Total energy = -5.854 eV per atom


Record 5
GdDy3Si4: optimized geometry, PBE.

Cell: 5.717 3.844 7.928 Å, 90.00 90.03 90.00°
Space group Pm (No. 6)
Symmetry-distinct sites (fractional):
1 Gd 0.000 0.000 0.000 [1 per cell]
2 Dy 0.230 0.500 0.358 [1 per cell]
3 Dy 0.500 0.500 0.858 [1 per cell]
4 Dy 0.730 0.000 0.500 [1 per cell]
5 Si 0.244 0.000 0.641 [1 per cell]
6 Si 0.486 0.000 0.141 [1 per cell]
7 Si 0.743 0.500 0.217 [1 per cell]
8 Si 0.986 0.500 0.717 [1 per cell]

Output
Total energy = -5.849 eV per atom


Record 6
GdDySi2: optimized geometry, PBE.

Cell: 3.852 5.730 7.949 Å, 90.00 90.00 90.00°
Space group Pmc2_1 (No. 26)
Symmetry-distinct sites (fractional):
1 Gd 0.000 0.135 0.000 [2 per cell]
2 Dy 0.500 0.365 0.358 [2 per cell]
3 Si 0.000 0.379 0.641 [2 per cell]
4 Si 0.500 0.121 0.717 [2 per cell]

Output
Total energy = -5.854 eV per atom


Record 7
GdDyTa2Si2: optimized geometry, PBE.

Cell: 4.008 4.008 7.806 Å, 90.00 90.00 90.00°
Space group P4mm (No. 99)
Symmetry-distinct sites (fractional):
1 Gd 0.000 0.000 0.000 [1 per cell]
2 Dy 0.500 0.500 0.705 [1 per cell]
3 Ta 0.000 0.500 0.354 [2 per cell]
4 Si 0.000 0.000 0.591 [1 per cell]
5 Si 0.500 0.500 0.117 [1 per cell]

Output
Total energy = -7.896 eV per atom


Record 8
SmGdDy: optimized geometry, PBE.

Cell: 7.734 7.734 7.734 Å, 90.00 90.00 90.00°
Space group F-43m (No. 216)
Symmetry-distinct sites (fractional):
1 Sm 0.000 0.000 0.000 [4 per cell]
2 Gd 0.250 0.250 0.250 [4 per cell]
3 Dy 0.250 0.250 0.750 [4 per cell]

Output
Formation energy from the elements = 215 kJ/mol of formula units
Total energy = -3.914 eV per atom


Record 9
SmGdDy2Tl2: optimized geometry, PBE.

Cell: 5.4421 5.4421 6.7360 Å, 90.00 90.00 120.00°
Space group P-6m2 (No. 187)
Symmetry-distinct sites (fractional):
1 Sm 0.0000 0.0000 0.0000 [1 per cell]
2 Gd 0.3333 0.6667 0.5000 [1 per cell]
3 Dy 0.6667 0.3333 0.2529 [2 per cell]
4 Tl 0.0000 0.0000 0.5000 [1 per cell]
5 Tl 0.3333 0.6667 0.0000 [1 per cell]

Output
Total energy = -4.145 eV per atom


Record 10
GdDySn: optimized geometry, PBE.

Cell: 7.284 7.284 7.284 Å, 90.00 90.00 90.00°
Space group F-43m (No. 216)
Symmetry-distinct sites (fractional):
1 Gd 0.000 0.000 0.000 [4 per cell]
2 Dy 0.000 0.000 0.500 [4 per cell]
3 Sn 0.250 0.250 0.750 [4 per cell]

Output
Polymorph energy (0 for the lowest one) = 0 meV/atom
Total energy = -4.824 eV per atom


Record 11
GdDySn2: optimized geometry, PBE.

Cell: 3.341 6.229 12.315 Å, 90.00 90.00 90.00°
Space group Amm2 (No. 38)
Symmetry-distinct sites (fractional):
1 Gd 0.000 0.000 0.000 [2 per cell]
2 Dy 0.000 0.000 0.280 [2 per cell]
3 Sn 0.000 0.000 0.524 [2 per cell]
4 Sn 0.000 0.000 0.754 [2 per cell]

Output
Total energy = -4.245 eV per atom


Record 12
GdDyZn2Sn2: optimized geometry, PBE.

Cell: 4.5175 4.5175 15.8677 Å, 90.00 90.00 120.00°
Space group P6_3/mmc (No. 194)
Symmetry-distinct sites (fractional):
1 Gd 0.0000 0.0000 0.0000 [2 per cell]
2 Dy 0.0000 0.0000 0.2500 [2 per cell]
3 Zn 0.3333 0.6667 0.1602 [4 per cell]
4 Sn 0.3333 0.6667 0.6147 [4 per cell]

Output
Polymorph energy (0 for the lowest one) = 0 meV/atom
Total energy = -3.901 eV per atom


Record 13
GdDyZn2Sn2: optimized geometry, PBE.

Cell: 4.5178 4.5178 15.8800 Å, 90.00 90.00 120.00°
Space group P6_3/mmc (No. 194)
Symmetry-distinct sites (fractional):
1 Gd 0.0000 0.0000 0.2500 [2 per cell]
2 Dy 0.0000 0.0000 0.0000 [2 per cell]
3 Zn 0.3333 0.6667 0.1586 [4 per cell]
4 Sn 0.3333 0.6667 0.6135 [4 per cell]

Output
Polymorph energy (0 for the lowest one) = 5 meV/atom
Total energy = -3.896 eV per atom


Record 14
GdDyTc: optimized geometry, PBE.

Cell: 6.745 6.745 6.745 Å, 90.00 90.00 90.00°
Space group F-43m (No. 216)
Symmetry-distinct sites (fractional):
1 Gd 0.000 0.000 0.000 [4 per cell]
2 Dy 0.250 0.250 0.250 [4 per cell]
3 Tc 0.000 0.000 0.500 [4 per cell]

Output
Formation energy from the elements = 269 kJ/mol of formula units
Polymorph energy (0 for the lowest one) = 0 meV/atom
Total energy = -5.610 eV per atom


Record 15
GdDyTe6: optimized geometry, PBE.

Cell: 4.339 4.338 26.323 Å, 90.00 90.00 90.00°
Space group Amm2 (No. 38)
Symmetry-distinct sites (fractional):
1 Gd 0.000 0.000 0.000 [2 per cell]
2 Dy 0.500 0.000 0.658 [2 per cell]
3 Te 0.000 0.000 0.123 [2 per cell]
4 Te 0.000 0.000 0.405 [2 per cell]
5 Te 0.000 0.000 0.754 [2 per cell]
6 Te 0.500 0.000 0.254 [2 per cell]
7 Te 0.500 0.000 0.536 [2 per cell]
8 Te 0.500 0.000 0.905 [2 per cell]

Output
Total energy = -4.446 eV per atom


Record 16
GdDyTe: optimized geometry, PBE.

Cell: 7.168 7.168 7.168 Å, 90.00 90.00 90.00°
Space group F-43m (No. 216)
Symmetry-distinct sites (fractional):
1 Gd 0.000 0.000 0.000 [4 per cell]
2 Dy 0.000 0.000 0.500 [4 per cell]
3 Te 0.250 0.250 0.750 [4 per cell]

Output
Polymorph energy (0 for the lowest one) = 0 meV/atom
Total energy = -4.651 eV per atom


Record 17
GdDy2TmTl2: optimized geometry, PBE.

Cell: 5.3804 5.3804 6.7036 Å, 90.00 90.00 120.00°
Space group P-6m2 (No. 187)
Symmetry-distinct sites (fractional):
1 Gd 0.0000 0.0000 0.0000 [1 per cell]
2 Dy 0.6667 0.3333 0.2548 [2 per cell]
3 Tm 0.3333 0.6667 0.5000 [1 per cell]
4 Tl 0.0000 0.0000 0.5000 [1 per cell]
5 Tl 0.3333 0.6667 0.0000 [1 per cell]

Output
Total energy = -4.099 eV per atom


Record 18
Gd2DyTmTl2: optimized geometry, PBE.

Cell: 5.3949 5.3949 6.7164 Å, 90.00 90.00 120.00°
Space group P-6m2 (No. 187)
Symmetry-distinct sites (fractional):
1 Gd 0.0000 0.0000 0.2468 [2 per cell]
2 Dy 0.3333 0.6667 0.5000 [1 per cell]
3 Tm 0.6667 0.3333 0.0000 [1 per cell]
4 Tl 0.3333 0.6667 0.0000 [1 per cell]
5 Tl 0.6667 0.3333 0.5000 [1 per cell]

Output
Total energy = -4.112 eV per atom


Record 19
Gd2DyTm5: optimized geometry, PBE.

Cell: 5.579 7.152 12.386 Å, 90.00 90.00 90.00°
Space group Amm2 (No. 38)
Symmetry-distinct sites (fractional):
1 Gd 0.000 0.000 0.000 [2 per cell]
2 Gd 0.500 0.000 0.333 [2 per cell]
3 Dy 0.500 0.000 0.832 [2 per cell]
4 Tm 0.000 0.000 0.501 [2 per cell]
5 Tm 0.000 0.249 0.749 [4 per cell]
6 Tm 0.500 0.249 0.584 [4 per cell]

Output
Formation energy from the elements = 4 kJ/mol of formula units
Total energy = -4.531 eV per atom


Record 20
Gd2Dy3Tm3: optimized geometry, PBE.

Cell: 7.1834 7.1834 5.6089 Å, 90.00 90.00 120.00°
Space group P-6m2 (No. 187)
Symmetry-distinct sites (fractional):
1 Gd 0.0000 0.0000 0.0000 [1 per cell]
2 Gd 0.3333 0.6667 0.5000 [1 per cell]
3 Dy 0.5008 0.0016 0.0000 [3 per cell]
4 Tm 0.3351 0.1675 0.5000 [3 per cell]

Output
Formation energy from the elements = 6 kJ/mol of formula units
Total energy = -4.559 eV per atom


Record 21
GdDy6Tm: optimized geometry, PBE.

Cell: 7.2051 7.2051 5.6137 Å, 90.00 90.00 120.00°
Space group P-6m2 (No. 187)
Symmetry-distinct sites (fractional):
1 Gd 0.0000 0.0000 0.0000 [1 per cell]
2 Dy 0.0018 0.5009 0.0000 [3 per cell]
3 Dy 0.1674 0.3349 0.5000 [3 per cell]
4 Tm 0.6667 0.3333 0.5000 [1 per cell]

Output
Formation energy from the elements = 7 kJ/mol of formula units
Total energy = -4.583 eV per atom


Record 22
GdDy2Tm5: optimized geometry, PBE.

Cell: 5.562 7.153 12.388 Å, 90.00 90.00 90.00°
Space group Amm2 (No. 38)
Symmetry-distinct sites (fractional):
1 Gd 0.000 0.000 0.000 [2 per cell]
2 Dy 0.000 0.000 0.500 [2 per cell]
3 Dy 0.500 0.000 0.833 [2 per cell]
4 Tm 0.000 0.250 0.249 [4 per cell]
5 Tm 0.500 0.000 0.333 [2 per cell]
6 Tm 0.500 0.250 0.083 [4 per cell]

Output
Formation energy from the elements = 3 kJ/mol of formula units
Total energy = -4.525 eV per atom


Record 23
GdDyTm6: optimized geometry, PBE.

Cell: 7.1295 7.1295 5.5536 Å, 90.00 90.00 120.00°
Space group P-6m2 (No. 187)
Symmetry-distinct sites (fractional):
1 Gd 0.0000 0.0000 0.0000 [1 per cell]
2 Dy 0.6667 0.3333 0.5000 [1 per cell]
3 Tm 0.0010 0.5005 0.0000 [3 per cell]
4 Tm 0.1671 0.3343 0.5000 [3 per cell]

Output
Formation energy from the elements = 2 kJ/mol of formula units
Total energy = -4.511 eV per atom


Record 24
GdDyTm2Zn2: optimized geometry, PBE.

Cell: 5.206 3.564 16.283 Å, 90.00 90.00 90.00°
Space group Amm2 (No. 38)
Symmetry-distinct sites (fractional):
1 Gd 0.000 0.000 0.000 [2 per cell]
2 Dy 0.500 0.000 0.837 [2 per cell]
3 Tm 0.000 0.000 0.697 [2 per cell]
4 Tm 0.500 0.000 0.139 [2 per cell]
5 Zn 0.000 0.000 0.346 [2 per cell]
6 Zn 0.500 0.000 0.490 [2 per cell]

Output
Formation energy from the elements = -135 kJ/mol of formula units
Total energy = -3.688 eV per atom


Record 25
GdDy2TmZn2: optimized geometry, PBE.

Cell: 5.200 3.594 16.296 Å, 90.00 90.00 90.00°
Space group Amm2 (No. 38)
Symmetry-distinct sites (fractional):
1 Gd 0.000 0.000 0.000 [2 per cell]
2 Dy 0.000 0.000 0.698 [2 per cell]
3 Dy 0.500 0.000 0.858 [2 per cell]
4 Tm 0.500 0.000 0.558 [2 per cell]
5 Zn 0.000 0.000 0.348 [2 per cell]
6 Zn 0.500 0.000 0.205 [2 per cell]

Output
Formation energy from the elements = -133 kJ/mol of formula units
Total energy = -3.706 eV per atom


Record 26
GdDyW: optimized geometry, PBE.

Cell: 6.927 6.927 6.927 Å, 90.00 90.00 90.00°
Space group F-43m (No. 216)
Symmetry-distinct sites (fractional):
1 Gd 0.000 0.000 0.000 [4 per cell]
2 Dy 0.250 0.250 0.250 [4 per cell]
3 W 0.000 0.000 0.500 [4 per cell]

Output
Formation energy from the elements = 415 kJ/mol of formula units
Polymorph energy (0 for the lowest one) = 0 meV/atom
Total energy = -5.973 eV per atom


Record 27
GdDy2Y5: optimized geometry, PBE.

Cell: 5.658 7.272 12.603 Å, 90.00 90.00 90.00°
Space group Amm2 (No. 38)
Symmetry-distinct sites (fractional):
1 Gd 0.000 0.000 0.000 [2 per cell]
2 Dy 0.000 0.000 0.501 [2 per cell]
3 Dy 0.500 0.000 0.834 [2 per cell]
4 Y 0.000 0.249 0.751 [4 per cell]
5 Y 0.500 0.000 0.334 [2 per cell]
6 Y 0.500 0.250 0.084 [4 per cell]

Output
Formation energy from the elements = 4 kJ/mol of formula units
Total energy = -5.768 eV per atom